## 1
MgTcNi after structural relaxation. Source: the Alexandria database, functional PBE.

Properties
space group = P3m1, No. 156
calculated density = 6.934 Mg/m³
calculated volume = 43 Å³/cell
N(E_F) = 3.90 states/eV/cell

Lattice parameters (Å, degrees): 2.7519 2.7519 6.6087 90.00 90.00 120.00
Element x y z (fractional)
Mg  0.0000  0.0000  0.0000
Tc  0.3333  0.6667  0.6330
Ni  0.6667  0.3333  0.3313



## 2
MgTcNi after structural relaxation. Source: the Alexandria database, functional PBE.

Properties
space group = I4mm, No. 107
calculated density = 6.984 Mg/m³
calculated volume = 86 Å³/cell
N(E_F) = 6.60 states/eV/cell

Lattice parameters (Å, degrees): 2.7306 2.7306 11.5427 90.00 90.00 90.00
Element x y z (fractional)
Mg  0.0000  0.0000  0.0000
Mg  0.5000  0.5000  0.5000
Tc  0.0000  0.0000  0.6893
Tc  0.5000  0.5000  0.1893
Ni  0.0000  0.0000  0.3311
Ni  0.5000  0.5000  0.8311



Least stable structure: 1



## 1
Mg3NiTe after structural relaxation. Source: the Alexandria database, functional PBE.

Properties
space group = Pm-3m, No. 221
calculated density = 3.722 Mg/m³
calculated volume = 116 Å³/cell
N(E_F) = 2.16 states/eV/cell

Lattice parameters (Å, degrees): 4.8718 4.8718 4.8718 90.00 90.00 90.00
Element x y z (fractional)
Mg  0.0000  0.0000  0.5000
Mg  0.0000  0.5000  0.0000
Mg  0.5000  0.0000  0.0000
Ni  0.0000  0.0000  0.0000
Te  0.5000  0.5000  0.5000



## 2
Mg3NiTe after structural relaxation. Source: the Alexandria database, functional PBE.

Properties
space group = Pm-3m, No. 221
calculated density = 2.829 Mg/m³
calculated volume = 152 Å³/cell
N(E_F) = 4.30 states/eV/cell

Lattice parameters (Å, degrees): 5.3385 5.3385 5.3385 90.00 90.00 90.00
Element x y z (fractional)
Mg  0.0000  0.0000  0.5000
Mg  0.0000  0.5000  0.0000
Mg  0.5000  0.0000  0.0000
Ni  0.5000  0.5000  0.5000
Te  0.0000  0.0000  0.0000



Least stable structure: 2



## 1
MgNiTe2 after structural relaxation. Source: the Alexandria database, functional PBE.

Properties
space group = P2/m, No. 10
calculated density = 6.243 Mg/m³
calculated volume = 90 Å³/cell
N(E_F) = 1.69 states/eV/cell

Lattice parameters (Å, degrees): 3.9792 4.0053 5.6441 90.00 90.11 90.00
Element x y z (fractional)
Mg  0.0000  0.0000  0.0000
Ni  0.5000  0.5000  0.5000
Te  0.0000  0.0000  0.5000
Te  0.5000  0.5000  0.0000



## 2
MgNiTe2 after structural relaxation. Source: the Alexandria database, functional PBE.

Properties
space group = F-43m, No. 216
calculated density = 6.318 Mg/m³
calculated volume = 356 Å³/cell
N(E_F) = 17.59 states/eV/cell

Lattice parameters (Å, degrees): 7.0845 7.0845 7.0845 90.00 90.00 90.00
Element x y z (fractional)
Mg  0.0000  0.0000  0.0000
Mg  0.0000  0.5000  0.5000
Mg  0.5000  0.0000  0.5000
Mg  0.5000  0.5000  0.0000
Ni  0.2500  0.2500  0.2500
Ni  0.2500  0.7500  0.7500
Ni  0.7500  0.2500  0.7500
Ni  0.7500  0.7500  0.2500
Te  0.0000  0.0000  0.5000
Te  0.0000  0.5000  0.0000
Te  0.2500  0.2500  0.7500
Te  0.2500  0.7500  0.2500
Te  0.5000  0.0000  0.0000
Te  0.5000  0.5000  0.5000
Te  0.7500  0.2500  0.2500
Te  0.7500  0.7500  0.7500



Least stable structure: 2



## 1
MgNiTe2 after structural relaxation. Source: the Alexandria database, functional PBE.

Properties
space group = Immm, No. 71
calculated density = 5.214 Mg/m³
calculated volume = 215 Å³/cell
N(E_F) = 2.21 states/eV/cell

Lattice parameters (Å, degrees): 3.7368 4.5390 12.6995 90.00 90.00 90.00
Element x y z (fractional)
Mg  0.0000  0.0000  0.0000
Mg  0.5000  0.5000  0.5000
Ni  0.0000  0.0000  0.5000
Ni  0.5000  0.5000  0.0000
Te  0.0000  0.5000  0.1377
Te  0.0000  0.5000  0.8623
Te  0.5000  0.0000  0.3623
Te  0.5000  0.0000  0.6377



## 2
MgNiTe2 after structural relaxation. Source: the Alexandria database, functional PBE.

Properties
space group = Cmmm, No. 65
calculated density = 5.733 Mg/m³
calculated volume = 196 Å³/cell
N(E_F) = 6.23 states/eV/cell

Lattice parameters (Å, degrees): 3.8544 6.5753 7.7305 90.00 90.00 90.00
Element x y z (fractional)
Mg  0.0000  0.0000  0.0000
Mg  0.5000  0.5000  0.0000
Ni  0.0000  0.0000  0.5000
Ni  0.5000  0.5000  0.5000
Te  0.0000  0.5000  0.2808
Te  0.0000  0.5000  0.7192
Te  0.5000  0.0000  0.2808
Te  0.5000  0.0000  0.7192



## 3
MgNiTe2 after structural relaxation. Source: the Alexandria database, functional PBE.

Properties
space group = Cmmm, No. 65
calculated density = 5.847 Mg/m³
calculated volume = 192 Å³/cell
N(E_F) = 4.82 states/eV/cell

Lattice parameters (Å, degrees): 6.1873 8.0943 3.8356 90.00 90.00 90.00
Element x y z (fractional)
Mg  0.0000  0.0000  0.0000
Mg  0.5000  0.5000  0.0000
Ni  0.0000  0.5000  0.0000
Ni  0.5000  0.0000  0.0000
Te  0.0000  0.2922  0.5000
Te  0.0000  0.7078  0.5000
Te  0.5000  0.2078  0.5000
Te  0.5000  0.7922  0.5000



## 4
MgNiTe2 after structural relaxation. Source: the Alexandria database, functional PBE.

Properties
space group = C2/m, No. 12
calculated density = 6.217 Mg/m³
calculated volume = 181 Å³/cell
N(E_F) = 6.53 states/eV/cell

Lattice parameters (Å, degrees): 6.8432 3.9458 7.0640 90.00 108.71 90.00
Element x y z (fractional)
Mg  0.0000  0.0000  0.0000
Mg  0.5000  0.5000  0.0000
Ni  0.0000  0.5000  0.5000
Ni  0.5000  0.0000  0.5000
Te  0.2372  0.0000  0.7110
Te  0.2628  0.5000  0.2890
Te  0.7372  0.5000  0.7110
Te  0.7628  0.0000  0.2890



Least stable structure: 2



## 1
MgNiTe2 after structural relaxation. Source: the Alexandria database, functional PBE.

Properties
space group = I-4m2, No. 119
calculated density = 6.007 Mg/m³
calculated volume = 187 Å³/cell
N(E_F) = 8.81 states/eV/cell

Lattice parameters (Å, degrees): 3.9053 3.9053 12.2602 90.00 90.00 90.00
Element x y z (fractional)
Mg  0.0000  0.0000  0.0000
Mg  0.5000  0.5000  0.5000
Ni  0.0000  0.5000  0.7500
Ni  0.5000  0.0000  0.2500
Te  0.0000  0.0000  0.5000
Te  0.0000  0.5000  0.2500
Te  0.5000  0.0000  0.7500
Te  0.5000  0.5000  0.0000



## 2
MgNiTe2 after structural relaxation. Source: the Alexandria database, functional PBE.

Properties
space group = R3m, No. 160
calculated density = 5.480 Mg/m³
calculated volume = 307 Å³/cell
N(E_F) = 8.23 states/eV/cell

Lattice parameters (Å, degrees): 3.9832 3.9832 22.3736 90.00 90.00 120.00
Element x y z (fractional)
Mg  0.0000  0.0000  0.0000
Mg  0.3333  0.6667  0.6667
Mg  0.6667  0.3333  0.3333
Ni  0.0000  0.0000  0.7413
Ni  0.3333  0.6667  0.4080
Ni  0.6667  0.3333  0.0746
Te  0.0000  0.0000  0.2553
Te  0.0000  0.0000  0.4452
Te  0.3333  0.6667  0.1118
Te  0.3333  0.6667  0.9220
Te  0.6667  0.3333  0.5886
Te  0.6667  0.3333  0.7785



Least stable structure: 1



## 1
MgNiTe2 after structural relaxation. Source: the Alexandria database, functional PBE.

Properties
space group = Pm, No. 6
calculated density = 5.887 Mg/m³
calculated volume = 95 Å³/cell
N(E_F) = 2.91 states/eV/cell

Lattice parameters (Å, degrees): 4.5992 4.7467 4.6062 90.00 108.44 90.00
Element x y z (fractional)
Mg  0.0000  0.0000  0.0000
Ni  0.2138  0.5000  0.7841
Te  0.3705  0.0000  0.6284
Te  0.7974  0.5000  0.2009



## 2
MgNiTe2 after structural relaxation. Source: the Alexandria database, functional PBE.

Properties
space group = Pmm2, No. 25
calculated density = 5.605 Mg/m³
calculated volume = 100 Å³/cell
N(E_F) = 3.07 states/eV/cell

Lattice parameters (Å, degrees): 3.6413 3.6727 7.4918 90.00 90.00 90.00
Element x y z (fractional)
Mg  0.0000  0.0000  0.0000
Ni  0.5000  0.5000  0.7816
Te  0.0000  0.0000  0.6364
Te  0.5000  0.5000  0.1513



Least stable structure: 2



## 1
MgNiTe2 after structural relaxation. Source: the Alexandria database, functional PBE.

Properties
space group = Cm, No. 8
calculated density = 5.828 Mg/m³
calculated volume = 193 Å³/cell
N(E_F) = 2.19 states/eV/cell

Lattice parameters (Å, degrees): 8.8409 3.9001 5.8142 90.00 105.99 90.00
Element x y z (fractional)
Mg  0.0000  0.0000  0.0000
Mg  0.5000  0.5000  0.0000
Ni  0.0009  0.0000  0.4998
Ni  0.5009  0.5000  0.4998
Te  0.1492  0.5000  0.7381
Te  0.3515  0.0000  0.2633
Te  0.6492  0.0000  0.7381
Te  0.8515  0.5000  0.2633



## 2
MgNiTe2 after structural relaxation. Source: the Alexandria database, functional PBE.

Properties
space group = Pmmm, No. 47
calculated density = 6.114 Mg/m³
calculated volume = 92 Å³/cell
N(E_F) = 2.87 states/eV/cell

Lattice parameters (Å, degrees): 3.8929 3.9552 5.9653 90.00 90.00 90.00
Element x y z (fractional)
Mg  0.0000  0.0000  0.0000
Ni  0.0000  0.5000  0.5000
Te  0.5000  0.0000  0.5000
Te  0.5000  0.5000  0.0000



Least stable structure: 2



## 1
MgNiTe2 after structural relaxation. Source: the Alexandria database, functional PBE.

Properties
space group = I-42d, No. 122
calculated density = 4.897 Mg/m³
calculated volume = 459 Å³/cell
N(E_F) = 8.19 states/eV/cell

Lattice parameters (Å, degrees): 6.1738 6.1738 12.0342 90.00 90.00 90.00
Element x y z (fractional)
Mg  0.0000  0.0000  0.0000
Mg  0.0000  0.5000  0.2500
Mg  0.5000  0.0000  0.7500
Mg  0.5000  0.5000  0.5000
Ni  0.0000  0.0000  0.5000
Ni  0.0000  0.5000  0.7500
Ni  0.5000  0.0000  0.2500
Ni  0.5000  0.5000  0.0000
Te  0.2029  0.2500  0.6250
Te  0.2500  0.7029  0.8750
Te  0.2500  0.7971  0.3750
Te  0.2971  0.2500  0.1250
Te  0.7029  0.7500  0.1250
Te  0.7500  0.2029  0.3750
Te  0.7500  0.2971  0.8750
Te  0.7971  0.7500  0.6250



## 2
MgNiTe2 after structural relaxation. Source: the Alexandria database, functional PBE.

Properties
space group = P4/mmm, No. 123
calculated density = 6.576 Mg/m³
calculated volume = 85 Å³/cell
N(E_F) = 2.63 states/eV/cell

Lattice parameters (Å, degrees): 5.0064 5.0064 3.4070 90.00 90.00 90.00
Element x y z (fractional)
Mg  0.0000  0.0000  0.0000
Ni  0.5000  0.5000  0.0000
Te  0.0000  0.5000  0.5000
Te  0.5000  0.0000  0.5000



Least stable structure: 2



## 1
MgNiTe2 after structural relaxation. Source: the Alexandria database, functional PBE.

Properties
space group = C2/m, No. 12
calculated density = 5.970 Mg/m³
calculated volume = 188 Å³/cell
N(E_F) = 4.64 states/eV/cell

Lattice parameters (Å, degrees): 6.2809 7.8364 4.3762 90.00 119.14 90.00
Element x y z (fractional)
Mg  0.0000  0.0000  0.0000
Mg  0.5000  0.5000  0.0000
Ni  0.0000  0.5000  0.0000
Ni  0.5000  0.0000  0.0000
Te  0.2500  0.2500  0.5000
Te  0.2500  0.7500  0.5000
Te  0.7500  0.2500  0.5000
Te  0.7500  0.7500  0.5000



## 2
MgNiTe2 after structural relaxation. Source: the Alexandria database, functional PBE.

Properties
space group = Fm-3m, No. 225
calculated density = 6.518 Mg/m³
calculated volume = 345 Å³/cell
N(E_F) = 13.45 states/eV/cell

Lattice parameters (Å, degrees): 7.0113 7.0113 7.0113 90.00 90.00 90.00
Element x y z (fractional)
Mg  0.0000  0.0000  0.0000
Mg  0.0000  0.5000  0.5000
Mg  0.5000  0.0000  0.5000
Mg  0.5000  0.5000  0.0000
Ni  0.0000  0.0000  0.5000
Ni  0.0000  0.5000  0.0000
Ni  0.5000  0.0000  0.0000
Ni  0.5000  0.5000  0.5000
Te  0.2500  0.2500  0.2500
Te  0.2500  0.2500  0.7500
Te  0.2500  0.7500  0.2500
Te  0.2500  0.7500  0.7500
Te  0.7500  0.2500  0.2500
Te  0.7500  0.2500  0.7500
Te  0.7500  0.7500  0.2500
Te  0.7500  0.7500  0.7500



Least stable structure: 2



## 1
Th2MgNi after structural relaxation. Source: the Alexandria database, functional PBE.

Properties
space group = R-3m, No. 166
calculated density = 7.818 Mg/m³
calculated volume = 349 Å³/cell
N(E_F) = 13.65 states/eV/cell

Lattice parameters (Å, degrees): 3.5435 3.5435 32.0569 90.00 90.00 120.00
Element x y z (fractional)
Th  0.0000  0.0000  0.1078
Th  0.0000  0.0000  0.8922
Th  0.3333  0.6667  0.5589
Th  0.3333  0.6667  0.7744
Th  0.6667  0.3333  0.2256
Th  0.6667  0.3333  0.4411
Mg  0.0000  0.0000  0.0000
Mg  0.3333  0.6667  0.6667
Mg  0.6667  0.3333  0.3333
Ni  0.0000  0.0000  0.5000
Ni  0.3333  0.6667  0.1667
Ni  0.6667  0.3333  0.8333



## 2
Th2MgNi after structural relaxation. Source: the Alexandria database, functional PBE.

Properties
space group = P4/mmm, No. 123
calculated density = 9.064 Mg/m³
calculated volume = 100 Å³/cell
N(E_F) = 5.49 states/eV/cell

Lattice parameters (Å, degrees): 3.3801 3.3801 8.7720 90.00 90.00 90.00
Element x y z (fractional)
Th  0.0000  0.0000  0.2038
Th  0.0000  0.0000  0.7962
Mg  0.5000  0.5000  0.5000
Ni  0.5000  0.5000  0.0000



Least stable structure: 1



## 1
MgTi3Ni after structural relaxation. Source: the Alexandria database, functional PBE.

Properties
space group = Pm-3m, No. 221
calculated density = 3.874 Mg/m³
calculated volume = 97 Å³/cell
N(E_F) = 9.63 states/eV/cell

Lattice parameters (Å, degrees): 4.5966 4.5966 4.5966 90.00 90.00 90.00
Element x y z (fractional)
Mg  0.0000  0.0000  0.0000
Ti  0.0000  0.5000  0.5000
Ti  0.5000  0.0000  0.5000
Ti  0.5000  0.5000  0.0000
Ni  0.5000  0.5000  0.5000



## 2
MgTi3Ni after structural relaxation. Source: the Alexandria database, functional PBE.

Properties
space group = Pm-3m, No. 221
calculated density = 3.701 Mg/m³
calculated volume = 102 Å³/cell
N(E_F) = 8.68 states/eV/cell

Lattice parameters (Å, degrees): 4.6672 4.6672 4.6672 90.00 90.00 90.00
Element x y z (fractional)
Mg  0.0000  0.0000  0.0000
Ti  0.0000  0.0000  0.5000
Ti  0.0000  0.5000  0.0000
Ti  0.5000  0.0000  0.0000
Ni  0.5000  0.5000  0.5000



Least stable structure: 2



## 1
Mg2TiNi2 after structural relaxation. Source: the Alexandria database, functional PBE.

Properties
space group = P4/mbm, No. 127
calculated density = 4.765 Mg/m³
calculated volume = 149 Å³/cell
N(E_F) = 6.94 states/eV/cell

Lattice parameters (Å, degrees): 7.4098 7.4098 2.7149 90.00 90.00 90.00
Element x y z (fractional)
Mg  0.1283  0.3717  0.0000
Mg  0.3717  0.8717  0.0000
Mg  0.6283  0.1283  0.0000
Mg  0.8717  0.6283  0.0000
Ti  0.0000  0.0000  0.0000
Ti  0.5000  0.5000  0.0000
Ni  0.1726  0.6726  0.5000
Ni  0.3274  0.1726  0.5000
Ni  0.6726  0.8274  0.5000
Ni  0.8274  0.3274  0.5000



## 2
Mg2TiNi2 after structural relaxation. Source: the Alexandria database, functional PBE.

Properties
space group = P4/mbm, No. 127
calculated density = 4.472 Mg/m³
calculated volume = 159 Å³/cell
N(E_F) = 4.84 states/eV/cell

Lattice parameters (Å, degrees): 6.1857 6.1857 4.1511 90.00 90.00 90.00
Element x y z (fractional)
Mg  0.1724  0.3276  0.0000
Mg  0.3276  0.8276  0.0000
Mg  0.6724  0.1724  0.0000
Mg  0.8276  0.6724  0.0000
Ti  0.0000  0.0000  0.5000
Ti  0.5000  0.5000  0.5000
Ni  0.1317  0.6317  0.5000
Ni  0.3683  0.1317  0.5000
Ni  0.6317  0.8683  0.5000
Ni  0.8683  0.3683  0.5000



Least stable structure: 1



## 1
MgTiNi after structural relaxation. Source: the Alexandria database, functional PBE.

Properties
space group = I4mm, No. 107
calculated density = 4.500 Mg/m³
calculated volume = 97 Å³/cell
N(E_F) = 7.04 states/eV/cell

Lattice parameters (Å, degrees): 2.9622 2.9622 11.0078 90.00 90.00 90.00
Element x y z (fractional)
Mg  0.0000  0.0000  0.0000
Mg  0.5000  0.5000  0.5000
Ti  0.0000  0.0000  0.2858
Ti  0.5000  0.5000  0.7858
Ni  0.0000  0.0000  0.6606
Ni  0.5000  0.5000  0.1606



## 2
MgTiNi after structural relaxation. Source: the Alexandria database, functional PBE.

Properties
space group = P4/nmm, No. 129
calculated density = 4.530 Mg/m³
calculated volume = 96 Å³/cell
N(E_F) = 5.22 states/eV/cell

Lattice parameters (Å, degrees): 3.0240 3.0240 10.4909 90.00 90.00 90.00
Element x y z (fractional)
Mg  0.2500  0.2500  0.1196
Mg  0.7500  0.7500  0.8804
Ti  0.2500  0.2500  0.4134
Ti  0.7500  0.7500  0.5866
Ni  0.2500  0.2500  0.7179
Ni  0.7500  0.7500  0.2821



Least stable structure: 1